Entry 1:
This record from Alexandria via LeMat-Bulk describes a relaxed Cd2NiHg crystal. The functional is PBE.

Cell and atoms, written as POSCAR:
```
Cd2NiHg
1.0
6.680 0.000 0.000
0.000 6.680 0.000
0.000 0.000 6.680
Cd Ni Hg
8 4 4
Direct
0.000 0.000 0.000
0.000 0.500 0.500
0.250 0.250 0.250
0.250 0.750 0.750
0.500 0.000 0.500
0.500 0.500 0.000
0.750 0.250 0.750
0.750 0.750 0.250
0.000 0.000 0.500
0.000 0.500 0.000
0.500 0.000 0.000
0.500 0.500 0.500
0.250 0.250 0.750
0.250 0.750 0.250
0.750 0.250 0.250
0.750 0.750 0.750
```

Summary:
SG	F-43m (216)
DFT total energy	-1.80	eV per atom
ΔH_f (0 K)	175	meV per atom
DOS at the Fermi energy	0.66	states/eV per atom



Entry 2:
This record from Alexandria via LeMat-Bulk describes a relaxed CdNiHg2 crystal. The functional is PBE.

Cell and atoms, written as POSCAR:
```
CdNiHg2
1.0
4.272 0.000 0.000
0.000 4.272 0.000
0.000 0.000 4.164
Cd Ni Hg
1 1 2
Direct
0.000 0.000 0.000
0.500 0.500 0.000
0.000 0.500 0.500
0.500 0.000 0.500
```

Summary:
SG	P4/mmm (123)
DFT total energy	-1.60	eV per atom
ΔH_f (0 K)	226	meV per atom
DOS at the Fermi energy	0.56	states/eV per atom



Entry 3:
This record from Alexandria via LeMat-Bulk describes a relaxed Cd2NiHg crystal. The functional is PBE.

Cell and atoms, written as POSCAR:
```
Cd2NiHg
1.0
8.267 0.000 0.000
0.000 8.267 0.000
0.000 0.000 5.261
Cd Ni Hg
8 4 4
Direct
0.170 0.750 0.125
0.250 0.170 0.875
0.250 0.330 0.375
0.330 0.750 0.625
0.670 0.250 0.625
0.750 0.670 0.375
0.750 0.830 0.875
0.830 0.250 0.125
0.000 0.000 0.000
0.000 0.500 0.250
0.500 0.000 0.750
0.500 0.500 0.500
0.000 0.000 0.500
0.000 0.500 0.750
0.500 0.000 0.250
0.500 0.500 0.000
```

Summary:
SG	I-42d (122)
DFT total energy	-1.75	eV per atom
ΔH_f (0 K)	231	meV per atom
DOS at the Fermi energy	0.49	states/eV per atom



Entry 4:
This record from Alexandria via LeMat-Bulk describes a relaxed CdNi2Hg2 crystal. The functional is PBE.

Cell and atoms, written as POSCAR:
```
CdNi2Hg2
1.0
6.869 0.000 0.000
0.000 6.869 0.000
0.000 0.000 3.692
Cd Ni Hg
2 4 4
Direct
0.000 0.000 0.000
0.500 0.500 0.000
0.127 0.373 0.000
0.373 0.873 0.000
0.627 0.127 0.000
0.873 0.627 0.000
0.168 0.668 0.500
0.332 0.168 0.500
0.668 0.832 0.500
0.832 0.332 0.500
```

Summary:
SG	P4/mbm (127)
polymorph energy (0 for the lowest one)	0	meV/atom
DFT total energy	-2.48	eV per atom
ΔH_f (0 K)	134	meV per atom
DOS at the Fermi energy	0.67	states/eV per atom



Entry 5:
This record from Alexandria via LeMat-Bulk describes a relaxed Cd2NiHg crystal. The functional is PBE.

Cell and atoms, written as POSCAR:
```
Cd2NiHg
1.0
4.150 0.000 0.000
0.000 4.150 0.000
0.000 0.000 8.656
Cd Ni Hg
4 2 2
Direct
0.000 0.000 0.000
0.000 0.500 0.250
0.500 0.000 0.750
0.500 0.500 0.500
0.000 0.000 0.500
0.500 0.500 0.000
0.000 0.500 0.750
0.500 0.000 0.250
```

Summary:
SG	I-4m2 (119)
DFT total energy	-1.84	eV per atom
ΔH_f (0 K)	139	meV per atom
DOS at the Fermi energy	0.31	states/eV per atom



Entry 6:
This record from Alexandria via LeMat-Bulk describes a relaxed Cd2NiHg crystal. The functional is PBE.

Cell and atoms, written as POSCAR:
```
Cd2NiHg
1.0
3.061 0.000 0.000
0.000 3.061 0.000
0.000 0.000 8.178
Cd Ni Hg
2 1 1
Direct
0.000 0.000 0.000
0.500 0.500 0.292
0.500 0.500 0.796
0.000 0.000 0.588
```

Summary:
SG	P4mm (99)
DFT total energy	-1.87	eV per atom
ΔH_f (0 K)	104	meV per atom
DOS at the Fermi energy	0.42	states/eV per atom



Entry 7:
This record from Alexandria via LeMat-Bulk describes a relaxed Cd2Ni2Hg crystal. The functional is PBE.

Cell and atoms, written as POSCAR:
```
Cd2Ni2Hg
1.0
7.696 0.000 0.000
0.000 7.696 0.000
0.000 0.000 2.933
Cd Ni Hg
4 4 2
Direct
0.138 0.362 0.000
0.362 0.862 0.000
0.638 0.138 0.000
0.862 0.638 0.000
0.158 0.658 0.500
0.342 0.158 0.500
0.658 0.842 0.500
0.842 0.342 0.500
0.000 0.000 0.000
0.500 0.500 0.000
```

Summary:
SG	P4/mbm (127)
polymorph energy (0 for the lowest one)	136	meV/atom
DFT total energy	-2.53	eV per atom
ΔH_f (0 K)	209	meV per atom
DOS at the Fermi energy	0.44	states/eV per atom



Entry 8:
This record from Alexandria via LeMat-Bulk describes a relaxed CdNiHg2 crystal. The functional is PBE.

Cell and atoms, written as POSCAR:
```
CdNiHg2
1.0
3.051 0.000 0.000
0.000 3.051 0.000
0.000 0.000 8.545
Cd Ni Hg
1 1 2
Direct
0.000 0.000 0.000
0.500 0.500 0.804
0.000 0.000 0.602
0.500 0.500 0.295
```

Summary:
SG	P4mm (99)
DFT total energy	-1.70	eV per atom
ΔH_f (0 K)	125	meV per atom
DOS at the Fermi energy	0.39	states/eV per atom



Entry 9:
This record from Alexandria via LeMat-Bulk describes a relaxed Cd8NiHg2 crystal. The functional is PBE.

Cell and atoms, written as POSCAR:
```
Cd8NiHg2
1.0
9.821 -2.380 0.000
9.821 2.380 0.000
-1.247 0.000 5.220
Cd Ni Hg
8 1 2
Direct
0.043 0.043 0.254
0.247 0.247 0.322
0.357 0.357 0.834
0.428 0.428 0.382
0.572 0.572 0.618
0.643 0.643 0.166
0.753 0.753 0.678
0.957 0.957 0.746
0.500 0.500 0.000
0.163 0.163 0.790
0.837 0.837 0.210
```

Summary:
SG	C2/m (12)
DFT total energy	-1.22	eV per atom
ΔH_f (0 K)	23	meV per atom
DOS at the Fermi energy	0.23	states/eV per atom



Entry 10:
This record from Alexandria via LeMat-Bulk describes a relaxed CdNiHg2 crystal. The functional is PBE.

Cell and atoms, written as POSCAR:
```
CdNiHg2
1.0
4.162 0.000 0.000
0.000 4.162 0.000
0.000 0.000 8.819
Cd Ni Hg
2 2 4
Direct
0.000 0.000 0.000
0.500 0.500 0.500
0.000 0.500 0.250
0.500 0.000 0.750
0.000 0.000 0.500
0.000 0.500 0.750
0.500 0.000 0.250
0.500 0.500 0.000
```

Summary:
SG	I-4m2 (119)
DFT total energy	-1.60	eV per atom
ΔH_f (0 K)	223	meV per atom
DOS at the Fermi energy	0.36	states/eV per atom



Entry 11:
This record from Alexandria via LeMat-Bulk describes a relaxed CdNi2Hg crystal. The functional is PBE.

Cell and atoms, written as POSCAR:
```
CdNi2Hg
1.0
2.911 0.000 0.000
-1.455 2.521 0.000
0.000 0.000 27.277
Cd Ni Hg
3 6 3
Direct
0.000 0.000 0.000
0.333 0.667 0.667
0.667 0.333 0.333
0.000 0.000 0.253
0.000 0.000 0.522
0.333 0.667 0.189
0.333 0.667 0.919
0.667 0.333 0.586
0.667 0.333 0.856
0.000 0.000 0.774
0.333 0.667 0.440
0.667 0.333 0.107
```

Summary:
SG	R3m (160)
DFT total energy	-2.90	eV per atom
ΔH_f (0 K)	290	meV per atom
DOS at the Fermi energy	0.96	states/eV per atom



Entry 12:
This record from Alexandria via LeMat-Bulk describes a relaxed CdNi2Hg crystal. The functional is PBE.

Cell and atoms, written as POSCAR:
```
CdNi2Hg
1.0
3.891 0.000 0.000
0.000 3.891 0.000
0.000 0.000 8.268
Cd Ni Hg
2 4 2
Direct
0.000 0.000 0.000
0.500 0.500 0.500
0.000 0.000 0.500
0.000 0.500 0.250
0.500 0.000 0.750
0.500 0.500 0.000
0.000 0.500 0.750
0.500 0.000 0.250
```

Summary:
SG	I-4m2 (119)
DFT total energy	-2.99	eV per atom
ΔH_f (0 K)	203	meV per atom
DOS at the Fermi energy	0.66	states/eV per atom



Entry 13:
This record from Alexandria via LeMat-Bulk describes a relaxed CdNiHg2 crystal. The functional is PBE.

Cell and atoms, written as POSCAR:
```
CdNiHg2
1.0
3.154 0.000 0.000
-1.577 2.731 0.000
0.000 0.000 28.607
Cd Ni Hg
3 3 6
Direct
0.000 0.000 0.000
0.333 0.667 0.667
0.667 0.333 0.333
0.000 0.000 0.265
0.333 0.667 0.932
0.667 0.333 0.599
0.000 0.000 0.529
0.000 0.000 0.763
0.333 0.667 0.196
0.333 0.667 0.429
0.667 0.333 0.096
0.667 0.333 0.863
```

Summary:
SG	R3m (160)
DFT total energy	-1.63	eV per atom
ΔH_f (0 K)	199	meV per atom
DOS at the Fermi energy	0.60	states/eV per atom



Entry 14:
This record from Alexandria via LeMat-Bulk describes a relaxed CdNiHg2Pb crystal. The functional is PBE.

Cell and atoms, written as POSCAR:
```
CdNiHg2Pb
1.0
5.129 0.000 0.000
0.000 5.129 0.000
0.000 0.000 5.044
Cd Ni Hg Pb
1 1 2 1
Direct
0.000 0.000 0.000
0.500 0.500 0.500
0.000 0.500 0.500
0.500 0.000 0.500
0.500 0.500 0.000
```

Summary:
SG	P4/mmm (123)
DFT total energy	-2.05	eV per atom
ΔH_f (0 K)	147	meV per atom
DOS at the Fermi energy	0.54	states/eV per atom